No. 1
Crystalline ZrSbHI2 at its relaxed geometry, computed with GGA-PBE.

Results
**Crystal system**: tetragonal
**Excess energy over the best structure of this formula in the dataset**: 0 kJ/mol of formula units
**Electronic total energy**: -3.5648 eV/atom

abc: 5.804 5.804 5.660
angles: 90.00 90.00 90.00
Space group P4/mmm (No. 123)
Inequivalent atoms, fractional coordinates:
Zr 0.000 0.000 0.000 (multiplicity 1)
Sb 0.000 0.000 0.500 (multiplicity 1)
H 0.500 0.500 0.500 (multiplicity 1)
I 0.000 0.500 0.000 (multiplicity 2)

***

No. 2
Crystalline BaZr2Au2 at its relaxed geometry, computed with GGA-PBE.

Results
**Crystal system**: tetragonal
**Calculated formation energy**: -0.236 eV/atom
**Excess energy over the best structure of this formula in the dataset**: 0 kJ/mol of formula units
**Electronic total energy**: -5.3512 eV/atom

abc: 4.715 4.715 12.142
angles: 90.00 90.00 90.00
Space group I4/mmm (No. 139)
Inequivalent atoms, fractional coordinates:
Ba 0.000 0.000 0.000 (multiplicity 2)
Zr 0.000 0.500 0.250 (multiplicity 4)
Au 0.000 0.000 0.382 (multiplicity 4)

***

No. 3
Crystalline LiBe3C at its relaxed geometry, computed with GGA-PBE.

Results
**Crystal system**: cubic
**Calculated formation energy**: 2.091 eV/atom
**Excess energy over the best structure of this formula in the dataset**: 840 kJ/mol of formula units
**Electronic total energy**: -2.3727 eV/atom

abc: 3.760 3.760 3.760
angles: 90.00 90.00 90.00
Space group Pm-3m (No. 221)
Inequivalent atoms, fractional coordinates:
Li 0.000 0.000 0.000 (multiplicity 1)
Be 0.000 0.000 0.500 (multiplicity 3)
C 0.500 0.500 0.500 (multiplicity 1)